Here is a geometry-optimized Sr2LiAg structure from Alexandria via LeMat-Bulk. Energies are from PBE-GGA.

Unit cell a=4.8119 b=4.8119 c=11.5661 alpha=90.00 beta=90.00 gamma=90.00
Last column: nearest neighbours and their distance in Å.
Space group I-4m2 (No. 119)
One atom of each set of equivalent atoms:
Sr 0.0000 0.0000 0.0000  4 Li 3.40, 4 Sr 3.76, 4 Ag 3.76
Sr 0.0000 0.5000 0.2500  4 Ag 3.40, 4 Li 3.76, 4 Sr 3.76
Li 0.0000 0.0000 0.5000  8 Sr 3.40-3.76, 4 Ag 3.76
Ag 0.0000 0.5000 0.7500  8 Sr 3.40-3.76, 4 Li 3.76

Formation enthalpy at 0 K ... -0.0004 eV per atom
Final energy ... -2.033 eV/atom
Distance to the lowest polymorph of the same formula ... 0.165 eV/atom
Spin magnetization ... 0.0 Bohr magnetons per cell

Here is a geometry-optimized Sr6LiAg2 structure from Alexandria via LeMat-Bulk. Energies are from PBE-GGA.

Unit cell a=10.8129 b=11.0744 c=12.1621 alpha=90.00 beta=90.00 gamma=90.00
Last column: nearest neighbours and their distance in Å.
Space group Immm (No. 71)
One atom of each set of equivalent atoms:
Sr 0.0000 0.1952 0.2436  1 Ag 3.28, 1 Li 3.67
Sr 0.1876 0.5000 0.1675  3 Ag 3.27-3.49
Sr 0.2145 0.3188 0.5000  3 Ag 3.40-3.46, 1 Li 3.68
Li 0.0000 0.0000 0.0000  2 Ag 3.56, 8 Sr 3.67-3.68
Li 0.0000 0.0000 0.5000  12 Sr 3.79-4.22
Ag 0.0000 0.3217 0.0000  8 Sr 3.28-3.49, 1 Li 3.56
Ag 0.0000 0.5000 0.3789  1 Ag 2.95, 2 Sr 3.27

Formation enthalpy at 0 K ... -0.1502 eV per atom
Final energy ... -2.118 eV/atom
Spin magnetization ... 0.0 Bohr magnetons per cell

Here is a geometry-optimized Sr2LiAg structure from Alexandria via LeMat-Bulk. Energies are from PBE-GGA.

Unit cell a=4.4997 b=4.4997 c=26.8134 alpha=90.00 beta=90.00 gamma=120.00
Last column: nearest neighbours and their distance in Å.
Space group R3m (No. 160, hexagonal axes)
One atom of each set of equivalent atoms:
Sr 0.0000 0.0000 0.0000  3 Ag 3.19
Sr 0.0000 0.0000 0.1939  3 Ag 3.21
Li 0.0000 0.0000 0.7622  6 Sr 3.65-3.70
Ag 0.0000 0.0000 0.5978  6 Sr 3.19-3.21

Formation enthalpy at 0 K ... -0.0223 eV per atom
Final energy ... -2.054 eV/atom
Distance to the lowest polymorph of the same formula ... 0.143 eV/atom
Spin magnetization ... 0.0 Bohr magnetons per cell

Here is a geometry-optimized Sr3LiAg structure from Alexandria via LeMat-Bulk. Energies are from PBE-GGA.

Unit cell a=4.3370 b=9.9489 c=9.1552 alpha=90.00 beta=90.38 gamma=90.00
Last column: nearest neighbours and their distance in Å.
Space group P2_1/m (No. 11)
One atom of each set of equivalent atoms:
Sr 0.2418 0.2500 0.0009  2 Li 3.78-3.85, 6 Sr 4.11-4.18
Sr 0.2538 0.5400 0.6817  3 Ag 3.31-3.48, 2 Li 3.61-3.62
Li 0.2501 0.7500 0.3420  2 Ag 2.78
Ag 0.2481 0.2500 0.4682  2 Li 2.78

Formation enthalpy at 0 K ... -0.0865 eV per atom
Final energy ... -2.049 eV/atom
Distance to the lowest polymorph of the same formula ... 0.000 eV/atom
Spin magnetization ... 0.0 Bohr magnetons per cell

Here is a geometry-optimized Sr8Li2Ag structure from Alexandria via LeMat-Bulk. Energies are from PBE-GGA.

Unit cell a=20.7974 b=6.0728 c=8.0124 alpha=90.00 beta=107.13 gamma=90.00
Last column: nearest neighbours and their distance in Å.
Space group C2/m (No. 12)
One atom of each set of equivalent atoms:
Sr 0.0235 0.0000 0.2854  1 Li 3.51, 2 Ag 3.59, 1 Sr 3.84
Sr 0.0914 0.5000 0.9306  1 Ag 3.41
Sr 0.1545 0.5000 0.4658  1 Ag 3.30, 1 Li 3.57
Sr 0.2043 0.0000 0.8065  3 Li 3.47-3.88
Li 0.1831 0.0000 0.2203  7 Sr 3.47-3.88
Ag 0.0000 0.5000 0.5000  8 Sr 3.30-3.59

Formation enthalpy at 0 K ... -0.0076 eV per atom
Final energy ... -1.838 eV/atom
Spin magnetization ... 0.0 Bohr magnetons per cell

Here is a geometry-optimized Sr3Li6Ag2 structure from Alexandria via LeMat-Bulk. Energies are from PBE-GGA.

Unit cell a=4.5800 b=4.5800 c=29.5433 alpha=90.00 beta=90.00 gamma=90.00
Last column: nearest neighbours and their distance in Å.
Space group I4/mmm (No. 139)
One atom of each set of equivalent atoms:
Sr 0.0000 0.0000 0.0000  8 Ag 3.54, 8 Li 3.69
Sr 0.0000 0.0000 0.2039  8 Li 3.54-3.87
Li 0.0000 0.0000 0.3442  4 Li 2.85, 1 Ag 3.18
Li 0.0000 0.5000 0.0981  2 Ag 2.72, 2 Li 2.85
Ag 0.0000 0.0000 0.4519  4 Li 2.72, 1 Ag 2.84

Formation enthalpy at 0 K ... -0.0863 eV per atom
Final energy ... -2.107 eV/atom
Spin magnetization ... 0.0 Bohr magnetons per cell

Here is a geometry-optimized Sr2Li3Ag structure from Alexandria via LeMat-Bulk. Energies are from PBE-GGA.

Unit cell a=10.5118 b=6.1095 c=6.3046 alpha=90.00 beta=122.37 gamma=90.00
Last column: nearest neighbours and their distance in Å.
Space group C2/m (No. 12)
One atom of each set of equivalent atoms:
Sr 0.1252 0.0000 0.3733  3 Ag 3.58, 9 Li 3.59-3.80, 4 Sr 3.74-3.98
Li 0.0000 0.5000 0.0000  4 Li 3.04, 2 Ag 3.15
Li 0.2500 0.2500 0.0000  4 Li 3.04-3.05, 2 Ag 3.21
Ag 0.0000 0.5000 0.5000  6 Li 3.15-3.21

Formation enthalpy at 0 K ... -0.0624 eV per atom
Final energy ... -2.055 eV/atom
Distance to the lowest polymorph of the same formula ... 0.004 eV/atom
Spin magnetization ... 0.0 Bohr magnetons per cell

Here is a geometry-optimized Sr4LiAg3 structure from Alexandria via LeMat-Bulk. Energies are from PBE-GGA.

Unit cell a=4.5829 b=4.7296 c=12.2370 alpha=90.00 beta=90.00 gamma=90.00
Last column: nearest neighbours and their distance in Å.
Space group Pmm2 (No. 25)
One atom of each set of equivalent atoms:
Sr 0.0000 0.0000 0.0000  6 Ag 3.38-3.40
Sr 0.0000 0.5000 0.2732  7 Ag 3.40-3.60
Sr 0.5000 0.0000 0.4846  2 Li 3.39, 5 Ag 3.42-3.44
Sr 0.5000 0.5000 0.7778  3 Ag 3.45-3.50, 4 Li 3.47
Li 0.0000 0.0000 0.6893  2 Ag 2.80
Ag 0.0000 0.5000 0.5672  2 Li 2.80
Ag 0.5000 0.0000 0.2054  2 Ag 2.93
Ag 0.5000 0.5000 0.0638  2 Ag 2.93

Formation enthalpy at 0 K ... -0.2425 eV per atom
Final energy ... -2.392 eV/atom
Spin magnetization ... 0.0 Bohr magnetons per cell

Here is a geometry-optimized Sr3Li2Ag structure from Alexandria via LeMat-Bulk. Energies are from PBE-GGA.

Unit cell a=13.6914 b=4.6843 c=13.6322 alpha=90.00 beta=90.00 gamma=90.00
Last column: nearest neighbours and their distance in Å.
Space group Pnma (No. 62)
One atom of each set of equivalent atoms:
Sr 0.0507 0.2500 0.1283  1 Ag 3.48, 5 Li 3.48-3.86
Sr 0.1150 0.7500 0.5544  3 Ag 3.38-3.40, 5 Li 3.47-3.52
Sr 0.2218 0.2500 0.7922  2 Ag 3.36, 4 Li 3.45-3.71
Li 0.0270 0.7500 0.3155  2 Ag 2.79
Li 0.2042 0.7500 0.9923  1 Ag 2.89
Ag 0.1215 0.2500 0.3733  3 Li 2.79-2.89

Formation enthalpy at 0 K ... -0.1035 eV per atom
Final energy ... -2.058 eV/atom
Spin magnetization ... 0.0 Bohr magnetons per cell

Here is a geometry-optimized SrLiAg2 structure from Alexandria via LeMat-Bulk. Energies are from PBE-GGA.

Unit cell a=7.3656 b=7.3656 c=7.3656 alpha=90.00 beta=90.00 gamma=90.00
Last column: nearest neighbours and their distance in Å.
Space group Fm-3m (No. 225)
One atom of each set of equivalent atoms:
Sr 0.0000 0.0000 0.0000  8 Ag 3.19
Li 0.0000 0.0000 0.5000  8 Ag 3.19
Ag 0.2500 0.2500 0.2500  4 Li 3.19, 4 Sr 3.19

Formation enthalpy at 0 K ... -0.1517 eV per atom
Final energy ... -2.476 eV/atom
Distance to the lowest polymorph of the same formula ... 0.101 eV/atom
Spin magnetization ... 0.0 Bohr magnetons per cell

Here is a geometry-optimized Sr2LiAg structure from Alexandria via LeMat-Bulk. Energies are from PBE-GGA.

Unit cell a=7.9078 b=7.9078 c=7.9078 alpha=90.00 beta=90.00 gamma=90.00
Last column: nearest neighbours and their distance in Å.
Space group F-43m (No. 216)
One atom of each set of equivalent atoms:
Sr 0.0000 0.0000 0.0000  4 Ag 3.42, 4 Sr 3.42
Sr 0.2500 0.2500 0.2500  4 Sr 3.42, 4 Li 3.42
Li 0.0000 0.0000 0.5000  4 Sr 3.42, 4 Ag 3.42
Ag 0.2500 0.2500 0.7500  4 Li 3.42, 4 Sr 3.42

Formation enthalpy at 0 K ... 0.0955 eV per atom
Final energy ... -1.937 eV/atom
Distance to the lowest polymorph of the same formula ... 0.261 eV/atom
Spin magnetization ... 0.0 Bohr magnetons per cell

Question: final energy of number 8 (Sr4LiAg3)?
Answer: -2.392 eV/atom